Material: AgBi3Pt
Method: DFT, PBE
State: optimized geometry

## Properties
**Crystal system**: cubic
**E above lowest polymorph**: 462 meV/atom
**E_form**: 42.4 kJ per mole of atoms
**Space group**: Pm-3m (221)

abc: 5.4526 5.4526 5.4526
angles: 90.00 90.00 90.00
Positions (direct):
Ag: 0.0000 0.0000 0.0000
Bi: 0.0000 0.5000 0.5000
Bi: 0.5000 0.0000 0.5000
Bi: 0.5000 0.5000 0.0000
Pt: 0.5000 0.5000 0.5000

Material: La2SmTe2S2
Method: DFT, PBE
State: optimized geometry

## Properties
**E_form (uncorrected)**: -1.60 eV per atom
**Crystal system**: tetragonal
**Space group**: I4/mmm (139)

abc: 5.2056 5.2056 16.2740
angles: 90.00 90.00 90.00
Positions (direct):
La: 0.0000 0.0000 0.1155
La: 0.0000 0.0000 0.8845
La: 0.5000 0.5000 0.3845
La: 0.5000 0.5000 0.6155
Sm: 0.0000 0.0000 0.5000
Sm: 0.5000 0.5000 0.0000
Te: 0.0000 0.0000 0.3129
Te: 0.0000 0.0000 0.6871
Te: 0.5000 0.5000 0.1871
Te: 0.5000 0.5000 0.8129
S: 0.0000 0.5000 0.0000
S: 0.0000 0.5000 0.5000
S: 0.5000 0.0000 0.0000
S: 0.5000 0.0000 0.5000